Entry from Alexandria: crystalline LiPaRe at its relaxed geometry (GGA-PBE).

Output
spin magnetization: 0.00 μB/f.u.
electronic total energy: -7.69 eV/atom
space-group type: No. 69
energy relative to the elements: 263 meV/atom

Cell: 5.657 5.657 5.154 Å, 106.08 106.08 119.70°
Fractional positions:
1 Re 0.250 0.750 0.500
2 Re 0.750 0.250 0.500
3 Pa 0.650 0.350 0.000
4 Pa 0.350 0.650 0.000
5 Li 0.169 0.169 0.338
6 Li 0.831 0.831 0.662